(1)
Below is an optimized crystal structure of Pa2Si3Ni12Pt, with properties calculated at the PBE-GGA level.

Cell and atoms, written as POSCAR:
```
Pa2Si3Ni12Pt
1.0
6.0792 -1.3348 -0.9468
1.8415 5.9453 -0.9468
1.8415 1.0719 5.9240
Pa Si Ni Pt
2 3 12 1
direct
0.6657 0.6657 0.6657
0.3343 0.3343 0.3343
0.5000 0.0000 0.0000
0.0000 0.5000 0.0000
0.0000 0.0000 0.5000
0.3860 0.3860 0.9026
0.8025 0.8025 0.3137
0.3137 0.8025 0.8025
0.9026 0.3860 0.3860
0.8025 0.3137 0.8025
0.3860 0.9026 0.3860
0.6140 0.6140 0.0974
0.1975 0.1975 0.6863
0.6863 0.1975 0.1975
0.0974 0.6140 0.6140
0.1975 0.6863 0.1975
0.6140 0.0974 0.6140
0.0000 0.0000 0.0000
```

Properties
**Energy relative to the elements, uncorrected**: -182 meV/atom
**DFT total energy**: -6.33 eV per atom


(2)
Below is an optimized crystal structure of PrSm15Sc4, with properties calculated at the PBE-GGA level.

Cell and atoms, written as POSCAR:
```
PrSm15Sc4
1.0
-1.6149 4.7099 0.7393
-2.5179 -1.5054 4.0904
20.2105 4.7050 14.1727
Pr Sm Sc
1 15 4
direct
0.0000 0.0000 0.0000
0.5000 0.5000 0.0000
0.5000 0.5000 0.2047
0.5000 0.5000 0.4013
0.5000 0.5000 0.5987
0.5000 0.5000 0.7953
0.5000 0.0000 0.1051
0.5000 0.0000 0.3026
0.5000 0.0000 0.5000
0.5000 0.0000 0.6974
0.5000 0.0000 0.8949
0.0000 0.5000 0.1051
0.0000 0.5000 0.3026
0.0000 0.5000 0.5000
0.0000 0.5000 0.6974
0.0000 0.5000 0.8949
0.0000 0.0000 0.2038
0.0000 0.0000 0.4013
0.0000 0.0000 0.5987
0.0000 0.0000 0.7962
```

Properties
**Energy relative to the elements**: 34 meV/atom
**DFT total energy**: -5.01 eV per atom